No. 1
First-principles (SCAN) data for a PBEsol-optimized structure of BeAlGaP2, as listed in Alexandria via LeMat-Bulk.

Properties
* crystal system: tetragonal
* total DFT energy (no corrections): -0.648 Ry/atom
* energy of formation: 1.03 eV/atom
* total magnetization: 0.00 μB/f.u.

Lattice parameters (Å, degrees): 4.5817 4.5817 4.8067 90.00 90.00 90.00
Space group P4/mmm (No. 123)
One atom of each set of equivalent atoms:
Be 0.0000 0.0000 0.0000 x1
Al 0.5000 0.5000 0.5000 x1
Ga 0.5000 0.5000 0.0000 x1
P 0.0000 0.5000 0.5000 x2

No. 2
First-principles (SCAN) data for a PBEsol-optimized structure of BeAl2GaRh, as listed in Alexandria via LeMat-Bulk.

Properties
* crystal system: tetragonal
* total DFT energy (no corrections): -0.960 Ry/atom
* energy of formation: 0.93 eV/atom
* total magnetization: 0.00 μB/f.u.

Lattice parameters (Å, degrees): 4.5763 4.5763 4.5483 90.00 90.00 90.00
Space group P4/mmm (No. 123)
One atom of each set of equivalent atoms:
Be 0.0000 0.0000 0.0000 x1
Al 0.0000 0.5000 0.5000 x2
Ga 0.5000 0.5000 0.5000 x1
Rh 0.5000 0.5000 0.0000 x1